1.
{
  "formula": "Ca3LaTi2Cr2O12",
  "functional": "PBE+U",
  "state": "optimized geometry",
  "total_energy_ev_per_atom": -7.8807,
  "total_magnetization_mub_per_fu": 5.00,
  "lattice_angstrom": [[-1.5728, 4.3183, -2.9241], [-4.8231, -2.4225, -1.0836], [-3.0355, 3.1971, 6.3294]],
  "species": ["Ca", "Ca", "Ca", "La", "Ti", "Ti", "Cr", "Cr", "O", "O", "O", "O", "O", "O", "O", "O", "O", "O", "O", "O"],
  "frac_coords": [[0.5098, 0.4625, 0.7517], [0.9919, 0.9583, 0.7524], [0.4902, 0.5390, 0.2469], [0.0072, 0.0326, 0.2479], [0.0016, 0.4983, 0.5068], [0.5002, 0.0003, 0.9904], [0.9995, 0.5005, 0.9984], [0.5018, 0.9985, 0.5021], [0.2910, 0.2816, 0.4568], [0.2139, 0.7915, 0.0319], [0.7075, 0.7169, 0.9579], [0.7916, 0.2124, 0.5394], [0.7105, 0.7216, 0.5439], [0.7877, 0.2056, 0.9646], [0.2909, 0.2835, 0.0445], [0.2157, 0.7844, 0.4631], [0.4224, 0.0269, 0.7450], [0.0777, 0.5144, 0.7459], [0.5659, 0.9775, 0.2556], [0.9229, 0.4936, 0.2549]]
}

2.
{
  "formula": "LiMnSi3O8",
  "functional": "PBE+U",
  "state": "optimized geometry",
  "total_energy_ev_per_atom": -7.1423,
  "total_magnetization_mub_per_fu": 4.97,
  "lattice_angstrom": [[-7.6049, 1.0192, 1.0705], [-2.9246, -5.3171, 4.9677], [6.7884, 6.5289, 1.5829]],
  "species": ["Li", "Li", "Mn", "Mn", "Si", "Si", "Si", "Si", "Si", "Si", "O", "O", "O", "O", "O", "O", "O", "O", "O", "O", "O", "O", "O", "O", "O", "O"],
  "frac_coords": [[0.8730, 0.6552, 0.9634], [0.1270, 0.3448, 0.0366], [0.3091, 0.8696, 0.2679], [0.6909, 0.1304, 0.7321], [0.0399, 0.9111, 0.5809], [0.5552, 0.3129, 0.4511], [0.7371, 0.5537, 0.1575], [0.2629, 0.4463, 0.8425], [0.4448, 0.6871, 0.5489], [0.9601, 0.0889, 0.4191], [0.0018, 0.9348, 0.2260], [0.7159, 0.1897, 0.3578], [0.6216, 0.3576, 0.1020], [0.3530, 0.4340, 0.3297], [0.8316, 0.4538, 0.0097], [0.8847, 0.6893, 0.4034], [0.4671, 0.2636, 0.8758], [0.5105, 0.8369, 0.5258], [0.4895, 0.1631, 0.4742], [0.5329, 0.7364, 0.1242], [0.1153, 0.3107, 0.5966], [0.1684, 0.5462, 0.9903], [0.6470, 0.5660, 0.6703], [0.3784, 0.6424, 0.8980], [0.2841, 0.8103, 0.6422], [0.9982, 0.0652, 0.7740]]
}